# LaNd4Er7 (PBE, relaxed)
# Offset from the most stable computed form, meV/atom: 0
# Total magnetic moment, μB/f.u.: 0.000
# Crystal system: triclinic
# DFT total energy, eV per atom: -4.587
data_LaNd4Er7
_chemical_formula_sum 'La1 Nd4 Er7'
_space_group_name_H-M_alt 'P -1'
_space_group_IT_number 2
_cell_length_a 6.904
_cell_length_b 7.038
_cell_length_c 8.712
_cell_angle_alpha 78.50
_cell_angle_beta 77.25
_cell_angle_gamma 75.45
loop_
_space_group_symop_operation_xyz
'x,y,z'
'-x,-y,-z'
loop_
_atom_site_label
_atom_site_type_symbol
_atom_site_fract_x
_atom_site_fract_y
_atom_site_fract_z
La1 La 0.000 0.000 0.000
Nd1 Nd 0.185 0.604 0.335
Nd2 Nd 0.346 0.227 0.683
Er1 Er 0.000 0.500 0.000
Er2 Er 0.176 0.108 0.361
Er3 Er 0.324 0.732 0.673
Er4 Er 0.482 0.252 0.023

***

# MnCoSb3 (PBE, relaxed)
# Offset from the most stable computed form, meV/atom: 0
# Total magnetic moment, μB/f.u.: 2.010
# Crystal system: cubic
# DFT total energy, eV per atom: -4.853
# Formation energy (no corrections), eV per formula unit: 4.38
data_MnCoSb3
_chemical_formula_sum 'Mn1 Co1 Sb3'
_space_group_name_H-M_alt 'P m -3 m'
_space_group_IT_number 221
_space_group_name_Hall '-P 4 2 3'
_cell_length_a 4.914
_cell_length_b 4.914
_cell_length_c 4.914
_cell_angle_alpha 90.00
_cell_angle_beta 90.00
_cell_angle_gamma 90.00
loop_
_atom_site_label
_atom_site_type_symbol
_atom_site_fract_x
_atom_site_fract_y
_atom_site_fract_z
Mn1 Mn 0.000 0.000 0.000
Co1 Co 0.500 0.500 0.500
Sb1 Sb 0.000 0.000 0.500

***

# FeSiOs2 (PBE, relaxed)
# Total magnetic moment, μB/f.u.: 2.651
# Crystal system: tetragonal
# DFT total energy, eV per atom: -9.187
# Formation energy (no corrections), eV per formula unit: -0.40
data_FeSiOs2
_chemical_formula_sum 'Fe1 Si1 Os2'
_space_group_name_H-M_alt 'P 4/m m m'
_space_group_IT_number 123
_space_group_name_Hall '-P 4 2'
_cell_length_a 4.195
_cell_length_b 4.195
_cell_length_c 2.941
_cell_angle_alpha 90.00
_cell_angle_beta 90.00
_cell_angle_gamma 90.00
loop_
_atom_site_label
_atom_site_type_symbol
_atom_site_fract_x
_atom_site_fract_y
_atom_site_fract_z
Fe1 Fe 0.000 0.000 0.000
Si1 Si 0.500 0.500 0.000
Os1 Os 0.000 0.500 0.500

***

# La2Pm2PrSm2 (PBE, relaxed)
# Total magnetic moment, μB/f.u.: 0.000
# Crystal system: monoclinic
# DFT total energy, eV per atom: -4.776
data_La2Pm2PrSm2
_chemical_formula_sum 'La4 Pm4 Pr2 Sm4'
_space_group_name_H-M_alt 'C 1 2/m 1'
_space_group_IT_number 12
_cell_length_a 11.652
_cell_length_b 5.204
_cell_length_c 8.242
_cell_angle_alpha 90.00
_cell_angle_beta 98.01
_cell_angle_gamma 90.00
loop_
_space_group_symop_operation_xyz
'x,y,z'
'-x,-y,-z'
'-x,y,-z'
'x,-y,z'
'x+1/2,y+1/2,z'
'-x+1/2,-y+1/2,-z'
'-x+1/2,y+1/2,-z'
'x+1/2,-y+1/2,z'
loop_
_atom_site_label
_atom_site_type_symbol
_atom_site_fract_x
_atom_site_fract_y
_atom_site_fract_z
La1 La 0.143 0.000 0.428
Pm1 Pm 0.216 0.500 0.141
Pr1 Pr 0.000 0.000 0.000
Sm1 Sm 0.071 0.500 0.716